The following is a DFT calculation (PBE-GGA) of TePtI2O after structural relaxation.

The space group is P4/mmm (No. 123) and the conventional cell measures 5.947, 5.947 and 3.975 Å, with angles of 90.00, 90.00 and 90.00 degrees. The inequivalent atoms are Te at (0.000, 0.000, 0.000), Pt at (0.500, 0.500, 0.500), I at (0.000, 0.500, 0.000) and O at (0.000, 0.000, 0.500).

Its crystal system is tetragonal. The calculation puts the formation energy from raw total energies at 507 meV per atom. As for the total energy: -2.942 eV/atom.